Entry w
Compound: ZrReCl2
Source: the Alexandria database
Functional: meta-GGA SCAN
Structure: PBEsol geometry

```
ZrReCl2
1.0
-3.026 0.698 -0.406
-0.392 -3.383 -2.896
0.064 -3.786 5.094
Zr Cl Re
1 2 1
Cartesian
-0.196 -1.692 -1.448
-1.098 -3.275 2.555
-2.256 -3.196 -0.763
-1.513 0.349 -0.203
```

* magnetization: 0.43 μB per cell
* Fermi-level density of states: 0.481 states/eV/atom


Entry x
Compound: ZrReCl2
Source: the Alexandria database
Functional: meta-GGA SCAN
Structure: PBEsol geometry

```
ZrReCl2
1.0
2.992 0.000 0.000
0.000 2.992 0.000
0.000 0.000 8.213
Zr Cl Re
1 2 1
Cartesian
1.496 1.496 6.112
1.496 1.496 2.579
0.000 0.000 7.776
0.000 0.000 4.065
```

* magnetization: 0.00 μB per cell
* Fermi-level density of states: 0.580 states/eV/atom


entry w has the most favorable energy; the next structure is 0.088 eV/atom above.